RbCdBr2: relaxed, PBE.

Cell lengths 6.859, 6.859, 9.428 Å; angles 68.67, 68.67, 90.00 degrees
Fractional positions:
Br 0.375 0.306 0.750
Br 0.694 0.125 0.250
Br 0.875 0.944 0.750
Br 0.056 0.625 0.250
Cd 0.750 0.250 0.500
Cd 0.000 0.000 0.000
Rb 0.500 0.500 0.000
Rb 0.250 0.750 0.500

Values from the calculation:
The calculation puts the uncorrected formation energy at -974 meV/atom. For the offset from the most stable computed form, the calculation gives 0 meV per atom.



InGa3Rh: relaxed, PBE.

Cell lengths 4.830, 4.830, 4.830 Å; angles 90.00, 90.00, 90.00 degrees
Fractional positions:
Ga 0.000 0.000 0.500
Ga 0.000 0.500 0.000
Ga 0.500 0.000 0.000
In 0.500 0.500 0.500
Rh 0.000 0.000 0.000

Values from the calculation:
For the offset from the most stable computed form, the calculation gives 101 meV per atom. For the formation energy from the elements, the calculation gives -170 meV/atom.



NbNi2Br: relaxed, PBE.

Cell lengths 6.901, 6.901, 5.528 Å; angles 51.38, 51.38, 90.00 degrees
Fractional positions:
Ni 0.614 0.125 0.250
Ni 0.875 0.864 0.750
Ni 0.375 0.386 0.750
Ni 0.136 0.625 0.250
Nb 0.000 0.000 0.000
Nb 0.750 0.250 0.500
Br 0.250 0.750 0.500
Br 0.500 0.500 0.000

Values from the calculation:
The calculation puts the uncorrected formation energy at 377 meV/atom. For the offset from the most stable computed form, the calculation gives 0 meV per atom.



BaNiPd3: relaxed, PBE.

Cell lengths 5.365, 5.365, 5.365 Å; angles 90.00, 90.00, 90.00 degrees
Fractional positions:
Pd 0.000 0.000 0.500
Pd 0.000 0.500 0.000
Pd 0.500 0.000 0.000
Ba 0.000 0.000 0.000
Ni 0.500 0.500 0.500

Values from the calculation:
For the offset from the most stable computed form, the calculation gives 1484 meV per atom. For the formation energy from the elements, the calculation gives 1499 meV/atom.



Tl2CoSnBr: relaxed, PBE.

Cell lengths 5.189, 5.189, 4.872 Å; angles 90.00, 90.00, 90.00 degrees
Fractional positions:
Co 0.000 0.000 0.000
Tl 0.000 0.500 0.000
Tl 0.500 0.000 0.000
Br 0.500 0.500 0.500
Sn 0.000 0.000 0.500

Values from the calculation:
The calculation puts the uncorrected formation energy at -199 meV/atom.



MgZn4Ag7: relaxed, PBE.

Cell lengths 5.621, 7.730, 7.471 Å; angles 68.96, 76.52, 41.94 degrees
Fractional positions:
Zn 0.253 0.168 0.325
Zn 0.520 0.654 0.333
Zn 0.747 0.832 0.675
Zn 0.480 0.346 0.667
Ag 0.500 0.000 0.000
Ag 0.256 0.830 0.656
Ag 0.257 0.493 0.000
Ag 0.011 0.320 0.658
Ag 0.744 0.170 0.344
Ag 0.743 0.507 0.000
Ag 0.989 0.680 0.342
Mg 0.000 0.000 0.000

Values from the calculation:
For the offset from the most stable computed form, the calculation gives 0 meV per atom. For the formation energy from the elements, the calculation gives -65 meV/atom.



AlSbC3: relaxed, PBE.

Cell lengths 4.234, 4.234, 4.234 Å; angles 90.00, 90.00, 90.00 degrees
Fractional positions:
C 0.500 0.000 0.000
C 0.000 0.500 0.000
C 0.000 0.000 0.500
Sb 0.000 0.000 0.000
Al 0.500 0.500 0.500

Values from the calculation:
The calculation puts the uncorrected formation energy at 2806 meV/atom. For the offset from the most stable computed form, the calculation gives 612 meV per atom.



KRbHg: relaxed, PBE.

Cell lengths 5.200, 5.984, 5.984 Å; angles 120.00, 90.00, 90.00 degrees
Fractional positions:
Hg 0.048 0.000 0.000
K 0.242 0.333 0.667
Rb 0.710 0.667 0.333

Values from the calculation:
For the offset from the most stable computed form, the calculation gives 71 meV per atom. For the formation energy from the elements, the calculation gives -99 meV/atom.



PaCuGe: relaxed, PBE.

Cell lengths 3.892, 4.134, 4.134 Å; angles 120.00, 90.00, 90.00 degrees
Fractional positions:
Ge 0.833 0.333 0.667
Pa 0.333 0.667 0.333
Cu 0.833 0.000 0.000

Values from the calculation:
For the offset from the most stable computed form, the calculation gives 4 meV per atom. For the formation energy from the elements, the calculation gives -371 meV/atom.



Li2IrW: relaxed, PBE.

Cell lengths 2.885, 2.885, 7.331 Å; angles 90.00, 90.00, 90.00 degrees
Fractional positions:
Ir 0.500 0.500 0.755
W 0.000 0.000 0.528
Li 0.000 0.000 0.979
Li 0.500 0.500 0.238

Values from the calculation:
For the formation energy from the elements, the calculation gives 124 meV/atom.



AcNd12Ni6: relaxed, PBE.

Cell lengths 8.866, 8.866, 8.866 Å; angles 109.47, 109.47, 109.47 degrees
Fractional positions:
Nd 0.870 0.186 0.685
Nd 0.499 0.814 0.685
Nd 0.501 0.186 0.315
Nd 0.685 0.499 0.814
Nd 0.186 0.685 0.870
Nd 0.814 0.315 0.130
Nd 0.814 0.685 0.499
Nd 0.130 0.814 0.315
Nd 0.186 0.315 0.501
Nd 0.315 0.130 0.814
Nd 0.685 0.870 0.186
Nd 0.315 0.501 0.186
Ni 0.879 0.379 0.500
Ni 0.621 0.500 0.121
Ni 0.379 0.500 0.879
Ni 0.121 0.621 0.500
Ni 0.500 0.879 0.379
Ni 0.500 0.121 0.621
Ac 0.000 0.000 0.000

Values from the calculation:
For the formation energy from the elements, the calculation gives -170 meV/atom.



CaZr2Ni: relaxed, PBE.

Cell lengths 6.151, 6.151, 5.111 Å; angles 65.48, 65.48, 30.41 degrees
Fractional positions:
Ni 0.250 0.250 0.250
Zr 0.547 0.547 0.453
Zr 0.953 0.953 0.047
Ca 0.750 0.750 0.750

Values from the calculation:
For the offset from the most stable computed form, the calculation gives 92 meV per atom. For the formation energy from the elements, the calculation gives 11 meV/atom.



Cs2SrI4: relaxed, PBE.

Cell lengths 5.010, 10.350, 10.193 Å; angles 133.50, 104.23, 90.00 degrees
Fractional positions:
I 0.940 0.225 0.880
I 0.345 0.746 0.690
I 0.655 0.254 0.310
I 0.060 0.775 0.120
Sr 0.000 0.000 0.000
Cs 0.655 0.639 0.310
Cs 0.345 0.361 0.690

Values from the calculation:
The calculation puts the uncorrected formation energy at -1620 meV/atom.



KCa2H: relaxed, PBE.

Cell lengths 5.972, 5.972, 5.972 Å; angles 60.00, 60.00, 60.00 degrees
Fractional positions:
H 0.000 0.000 0.000
Ca 0.750 0.750 0.750
Ca 0.250 0.250 0.250
K 0.500 0.500 0.500

Values from the calculation:
For the offset from the most stable computed form, the calculation gives 706 meV per atom.



ZrMnPt2: relaxed, PBE.

Cell lengths 9.338, 9.338, 9.338 Å; angles 17.90, 17.90, 17.90 degrees
Fractional positions:
Mn 0.746 0.746 0.746
Zr 0.499 0.499 0.499
Pt 0.004 0.004 0.004
Pt 0.250 0.250 0.250

Values from the calculation:
For the formation energy from the elements, the calculation gives -192 meV/atom.



NaEuO2: relaxed, PBE.

Cell lengths 4.736, 4.736, 6.280 Å; angles 112.15, 112.15, 90.00 degrees
Fractional positions:
O 0.029 0.529 0.058
O 0.221 0.221 0.442
O 0.779 0.779 0.558
O 0.471 0.971 0.942
Eu 0.000 0.000 0.000
Eu 0.250 0.750 0.500
Na 0.750 0.250 0.500
Na 0.500 0.500 0.000

Values from the calculation:
The calculation puts the uncorrected formation energy at -2281 meV/atom.



AlFe2Br: relaxed, PBE.

Cell lengths 4.483, 4.483, 7.555 Å; angles 55.30, 55.30, 39.92 degrees
Fractional positions:
Al 0.250 0.250 0.250
Br 0.750 0.750 0.750
Fe 0.054 0.054 0.106
Fe 0.446 0.446 0.394

Values from the calculation:
The calculation puts the uncorrected formation energy at 204 meV/atom. For the offset from the most stable computed form, the calculation gives 86 meV per atom.



LaTe2Mo: relaxed, PBE.

Cell lengths 5.216, 5.216, 5.216 Å; angles 60.00, 60.00, 60.00 degrees
Fractional positions:
Te 0.000 0.000 0.000
Te 0.250 0.250 0.250
Mo 0.750 0.750 0.750
La 0.500 0.500 0.500

Values from the calculation:
The calculation puts the uncorrected formation energy at 256 meV/atom. For the offset from the most stable computed form, the calculation gives 768 meV per atom.



Nd5Ho5Er: relaxed, PBE.

Cell lengths 5.990, 9.932, 7.038 Å; angles 110.57, 90.00, 107.55 degrees
Fractional positions:
Ho 0.378 0.756 0.376
Ho 0.000 0.000 0.500
Ho 0.669 0.337 0.170
Ho 0.331 0.663 0.830
Ho 0.622 0.244 0.624
Nd 0.500 0.000 0.000
Nd 0.176 0.351 0.421
Nd 0.824 0.649 0.068
Nd 0.176 0.351 0.932
Nd 0.824 0.649 0.579
Er 0.000 0.000 0.000

Values from the calculation:
For the formation energy from the elements, the calculation gives 263 meV/atom.



BaSnPb4: relaxed, PBE.

Cell lengths 6.131, 6.134, 11.762 Å; angles 106.38, 106.38, 84.85 degrees
Fractional positions:
Sn 0.500 0.000 0.500
Sn 0.000 0.500 0.500
Pb 0.355 0.848 0.204
Pb 0.075 0.075 0.652
Pb 0.847 0.355 0.204
Pb 0.153 0.645 0.796
Pb 0.420 0.420 0.348
Pb 0.925 0.925 0.348
Pb 0.645 0.152 0.796
Pb 0.580 0.580 0.652
Ba 0.752 0.752 0.000
Ba 0.248 0.248 0.000

Values from the calculation:
For the offset from the most stable computed form, the calculation gives 40 meV per atom. For the formation energy from the elements, the calculation gives -130 meV/atom.



Number 1: size of the total moment 0.000 μB/atom. Number 2: size of the total moment 0.000 μB/atom. Number 3: size of the total moment 0.000 μB/atom. Number 4: size of the total moment 0.171 μB/atom. Number 5: size of the total moment 0.000 μB/atom. Number 6: size of the total moment 0.000 μB/atom. Number 7: size of the total moment 0.000 μB/atom. Number 8: size of the total moment 0.000 μB/atom. Number 9: size of the total moment 0.000 μB/atom. Number 10: size of the total moment 0.000 μB/atom. Number 11: size of the total moment 0.000 μB/atom. Number 12: size of the total moment 0.000 μB/atom. Number 13: size of the total moment 0.000 μB/atom. Number 14: size of the total moment 0.000 μB/atom. Number 15: size of the total moment 0.874 μB/atom. Number 16: size of the total moment 1.500 μB/atom. Number 17: size of the total moment 1.104 μB/atom. Number 18: size of the total moment 0.000 μB/atom. Number 19: size of the total moment 0.042 μB/atom. Number 20: size of the total moment 0.000 μB/atom.